The following is a DFT calculation (PBE-GGA) of crystalline GaGeSe at its relaxed geometry.

Cell and atoms, written as extended XYZ:
```
12
Lattice="-1.090 6.361 5.977 -3.478 -1.632 1.103 4.931 -9.088 2.100" Properties=species:S:1:pos:R:3 pbc="T T T"
Ge -0.474 -1.343 3.761
Ge 1.396 0.102 4.554
Ge 3.730 -5.071 4.259
Ge 2.122 -5.258 6.155
Se 0.596 -3.559 3.856
Se 2.538 -1.008 6.512
Se -0.130 1.801 2.255
Se -1.667 2.720 6.013
Ga 1.531 -3.161 7.395
Ga 0.805 2.199 5.793
Ga 2.567 -3.953 2.244
Ga -1.638 -0.225 1.746
```

Output
- DFT total energy: -3.941 eV/atom
- Formation energy without anion corrections: -0.231 eV/atom
- Density: 4.7 g/cm3